Entry from Alexandria: InAs4Pt after structural relaxation (PBE).

For the volume, the calculation gives 490.54 Å³ per cell. The uncorrected energy comes out at -4.067 eV/atom.

The structure belongs to space group F-43m (No. 216); the cell edges are 7.887, 7.887 and 7.887 Å and the angles 90.00°, 90.00° and 90.00°. The distinct sites, in fractional coordinates, are In at (0.000, 0.000, 0.000), As at (0.127, 0.127, 0.373) and Pt at (0.250, 0.250, 0.750).